Entry 1:
## KTa2Cl (PBE)

Data for a geometry-optimized KTa2Cl structure.

Lattice parameters (Å, degrees): 4.563 3.152 6.671 90.00 90.20 90.00
Atoms (fractional coordinates):
K (0.000, 0.000, 0.000)
Ta (0.000, 0.000, 0.500)
Ta (0.500, 0.500, 0.500)
Cl (0.500, 0.500, 0.000)

Summary:
Calculated volume ... 23.99 Å³/atom
Size of the total moment ... 0.00 μB per formula unit
Energy relative to the elements, uncorrected ... 0.5090 eV per atom
Symmetry ... P2/m (10)

***

Entry 2:
## KTa2Cl (PBE)

Data for a geometry-optimized KTa2Cl structure.

Lattice parameters (Å, degrees): 3.128 3.128 9.702 90.00 90.00 110.36
Atoms (fractional coordinates):
K (0.000, 0.000, 0.000)
Ta (0.000, 0.000, 0.533)
Ta (0.500, 0.500, 0.331)
Cl (0.500, 0.500, 0.759)

Summary:
Calculated volume ... 22.24 Å³/atom
Size of the total moment ... 0.00 μB per formula unit
Energy relative to the elements, uncorrected ... 0.1148 eV per atom
Symmetry ... Cmm2 (35)

***

Entry 3:
## K2TaCl (PBE)

Data for a geometry-optimized K2TaCl structure.

Lattice parameters (Å, degrees): 3.229 3.229 11.015 90.00 90.00 90.00
Atoms (fractional coordinates):
K (0.000, 0.000, 0.000)
K (0.500, 0.500, 0.376)
Ta (0.000, 0.000, 0.644)
Cl (0.500, 0.500, 0.793)

Summary:
Calculated volume ... 28.71 Å³/atom
Size of the total moment ... 0.54 μB per formula unit
Energy relative to the elements, uncorrected ... 0.4487 eV per atom
Symmetry ... P4mm (99)

***

Entry 4:
## KTa2Cl (PBE)

Data for a geometry-optimized KTa2Cl structure.

Lattice parameters (Å, degrees): 4.966 4.966 4.966 120.17 120.17 89.71
Atoms (fractional coordinates):
K (0.000, 0.000, 0.000)
Ta (0.250, 0.750, 0.500)
Ta (0.500, 0.500, 0.000)
Cl (0.750, 0.250, 0.500)

Summary:
Calculated volume ... 21.59 Å³/atom
Size of the total moment ... 0.01 μB per formula unit
Energy relative to the elements, uncorrected ... 1.2938 eV per atom
Symmetry ... I-4m2 (119)

***

Entry 5:
## KTaTl2Cl8 (PBE)

Data for a geometry-optimized KTaTl2Cl8 structure.

Lattice parameters (Å, degrees): 6.947 7.212 9.103 88.05 88.63 87.93
Atoms (fractional coordinates):
K (0.000, 0.000, 0.000)
Ta (0.000, 0.000, 0.500)
Tl (0.498, 0.510, 0.761)
Tl (0.502, 0.490, 0.239)
Cl (0.104, 0.209, 0.308)
Cl (0.123, 0.197, 0.678)
Cl (0.299, 0.837, 0.487)
Cl (0.341, 0.721, 0.003)
Cl (0.659, 0.279, 0.997)
Cl (0.701, 0.163, 0.513)
Cl (0.877, 0.803, 0.322)
Cl (0.896, 0.791, 0.692)

Summary:
Calculated volume ... 37.95 Å³/atom
Size of the total moment ... 0.00 μB per formula unit
Energy relative to the elements, uncorrected ... -1.3333 eV per atom
Symmetry ... P-1 (2)

***

Entry 6:
## KTa2TlCl (PBE)

Data for a geometry-optimized KTa2TlCl structure.

Lattice parameters (Å, degrees): 5.246 5.246 7.125 90.00 90.00 90.00
Atoms (fractional coordinates):
K (0.000, 0.000, 0.000)
Ta (0.000, 0.500, 0.500)
Ta (0.500, 0.000, 0.500)
Tl (0.000, 0.000, 0.500)
Cl (0.500, 0.500, 0.000)

Summary:
Calculated volume ... 39.21 Å³/atom
Size of the total moment ... 3.41 μB per formula unit
Energy relative to the elements, uncorrected ... 1.6086 eV per atom
Symmetry ... P4/mmm (123)

***

Look up the energy relative to the elements, uncorrected of the sixth one. 1.6086 eV per atom